{"formula": "BePbCl4", "functional": "PBE", "state": "optimized geometry", "de_polymorph_mev_per_atom": 1788, "spacegroup": "F-43m", "lattice": [[0.000, 4.228, 4.228], [4.228, 0.000, 4.228], [4.228, 4.228, 0.000]], "species": ["Be", "Pb", "Cl", "Cl", "Cl", "Cl"], "fractional_positions": [[0.000, 0.000, 0.000], [0.250, 0.250, 0.250], [0.123, 0.626, 0.626], [0.626, 0.123, 0.626], [0.626, 0.626, 0.123], [0.626, 0.626, 0.626]]}

=====

{"formula": "Be2PbCl6", "functional": "PBE", "state": "optimized geometry", "e_tot_ev_per_cell": -67.9, "spacegroup": "C2/c", "lattice": [[6.293, -6.153, 0.000], [6.293, 6.153, 0.000], [-1.378, 0.000, 6.026]], "species": ["Be", "Be", "Be", "Be", "Pb", "Pb", "Cl", "Cl", "Cl", "Cl", "Cl", "Cl", "Cl", "Cl", "Cl", "Cl", "Cl", "Cl"], "fractional_positions": [[0.131, 0.273, 0.265], [0.273, 0.131, 0.765], [0.727, 0.869, 0.235], [0.869, 0.727, 0.735], [0.357, 0.643, 0.750], [0.643, 0.357, 0.250], [0.072, 0.654, 0.888], [0.091, 0.208, 0.557], [0.208, 0.091, 0.057], [0.290, 0.446, 0.317], [0.346, 0.928, 0.612], [0.446, 0.290, 0.817], [0.554, 0.710, 0.183], [0.654, 0.072, 0.388], [0.710, 0.554, 0.683], [0.792, 0.909, 0.943], [0.909, 0.792, 0.443], [0.928, 0.346, 0.112]]}

=====

{"formula": "BePbCl2", "functional": "PBE", "state": "optimized geometry", "de_polymorph_mev_per_atom": 582, "spacegroup": "P4mm", "lattice": [[3.331, 0.000, 0.000], [0.000, 3.331, 0.000], [0.000, 0.000, 8.118]], "species": ["Be", "Pb", "Cl", "Cl"], "fractional_positions": [[0.000, 0.000, 0.000], [0.500, 0.500, 0.721], [0.000, 0.000, 0.486], [0.500, 0.500, 0.116]]}

=====

{"formula": "Be2PbCl", "functional": "PBE", "state": "optimized geometry", "de_polymorph_mev_per_atom": 302, "spacegroup": "R-3m", "lattice": [[1.776, 1.025, 6.627], [-1.776, 1.025, 6.627], [0.000, -2.051, 6.627]], "species": ["Be", "Be", "Pb", "Cl"], "fractional_positions": [[0.250, 0.250, 0.250], [0.750, 0.750, 0.750], [0.500, 0.500, 0.500], [0.000, 0.000, 0.000]]}

=====

{"formula": "Be2PbCl", "functional": "PBE", "state": "optimized geometry", "de_polymorph_mev_per_atom": 726, "spacegroup": "Fm-3m", "lattice": [[0.000, 3.350, 3.350], [3.350, 0.000, 3.350], [3.350, 3.350, 0.000]], "species": ["Be", "Be", "Pb", "Cl"], "fractional_positions": [[0.250, 0.250, 0.250], [0.750, 0.750, 0.750], [0.000, 0.000, 0.000], [0.500, 0.500, 0.500]]}

=====

{"formula": "BePb2Cl", "functional": "PBE", "state": "optimized geometry", "de_polymorph_mev_per_atom": 297, "spacegroup": "I-42d", "lattice": [[-3.090, 3.090, 6.415], [3.090, -3.090, 6.415], [3.090, 3.090, -6.415]], "species": ["Be", "Be", "Pb", "Pb", "Pb", "Pb", "Cl", "Cl"], "fractional_positions": [[0.000, 0.000, 0.000], [0.750, 0.250, 0.500], [0.041, 0.625, 0.916], [0.375, 0.291, 0.416], [0.709, 0.125, 0.084], [0.875, 0.959, 0.584], [0.250, 0.750, 0.500], [0.500, 0.500, 0.000]]}

=====

{"formula": "Be2PbCl", "functional": "PBE", "state": "optimized geometry", "de_polymorph_mev_per_atom": 539, "spacegroup": "P2/m", "lattice": [[5.035, 0.000, 0.000], [0.000, 3.030, 0.000], [-0.048, 0.000, 5.151]], "species": ["Be", "Be", "Pb", "Cl"], "fractional_positions": [[0.000, 0.000, 0.000], [0.500, 0.500, 0.000], [0.000, 0.500, 0.500], [0.500, 0.000, 0.500]]}

=====

{"formula": "Be2PbCl", "functional": "PBE", "state": "optimized geometry", "de_polymorph_mev_per_atom": 97, "spacegroup": "Pm", "lattice": [[3.292, 0.000, 0.000], [0.000, 4.761, 0.000], [-0.208, 0.000, 4.820]], "species": ["Be", "Be", "Pb", "Cl"], "fractional_positions": [[0.000, 0.000, 0.000], [0.249, 0.500, 0.732], [0.242, 0.000, 0.505], [0.763, 0.500, 0.010]]}

=====

{"formula": "BePb2Cl", "functional": "PBE", "state": "optimized geometry", "de_polymorph_mev_per_atom": 386, "spacegroup": "I-4m2", "lattice": [[-2.040, 2.040, 6.450], [2.040, -2.040, 6.450], [2.040, 2.040, -6.450]], "species": ["Be", "Pb", "Pb", "Cl"], "fractional_positions": [[0.000, 0.000, 0.000], [0.500, 0.500, 0.000], [0.750, 0.250, 0.500], [0.250, 0.750, 0.500]]}

=====

{"formula": "Be2PbCl", "functional": "PBE", "state": "optimized geometry", "de_polymorph_mev_per_atom": 207, "spacegroup": "P2/m", "lattice": [[4.018, 0.000, 0.000], [0.000, 3.245, 0.000], [-0.002, 0.000, 5.964]], "species": ["Be", "Be", "Pb", "Cl"], "fractional_positions": [[0.001, 0.000, 0.192], [0.999, 0.000, 0.808], [0.500, 0.500, 0.000], [0.000, 0.500, 0.500]]}

=====

{"formula": "Be2PbCl", "functional": "PBE", "state": "optimized geometry", "de_polymorph_mev_per_atom": 49, "spacegroup": "Cmm2", "lattice": [[1.511, -3.067, 0.000], [1.511, 3.067, 0.000], [0.000, 0.000, 9.819]], "species": ["Be", "Be", "Pb", "Cl"], "fractional_positions": [[0.000, 0.000, 0.000], [0.500, 0.500, 0.184], [0.500, 0.500, 0.764], [0.000, 0.000, 0.323]]}

=====

{"formula": "BePbCl2", "functional": "PBE", "state": "optimized geometry", "de_polymorph_mev_per_atom": 382, "spacegroup": "Cmm2", "lattice": [[1.730, -3.378, 0.000], [1.730, 3.378, 0.000], [0.000, 0.000, 8.725]], "species": ["Be", "Pb", "Cl", "Cl"], "fractional_positions": [[0.000, 0.000, 0.000], [0.500, 0.500, 0.251], [0.000, 0.000, 0.498], [0.500, 0.500, 0.867]]}